# KTbTl2Br6 | Alexandria | GGA-PBE | relaxed
# spin magnetization = 0.0 μB per cell
# E_form (uncorrected) = -1.46 eV/atom
# energy = -35.14 eV for the cell shown
data_KTbTl2Br6
_chemical_formula_sum 'K1 Tb1 Tl2 Br6'
_cell_length_a 8.1361
_cell_length_b 8.1414
_cell_length_c 8.4098
_cell_angle_alpha 90.02
_cell_angle_beta 118.93
_cell_angle_gamma 119.97
_symmetry_space_group_name_H-M 'P 1'
_symmetry_Int_Tables_number 1
loop_
_symmetry_equiv_pos_as_xyz
'x,y,z'
loop_
_atom_site_label
_atom_site_type_symbol
_atom_site_fract_x
_atom_site_fract_y
_atom_site_fract_z
K1 K 0.0000 0.0000 0.0000
Tb1 Tb 0.9853 0.4927 0.4777
Tl1 Tl 0.5743 0.2873 0.8610
Tl2 Tl 0.5897 0.7952 0.3844
Br1 Br 0.0780 0.3839 0.2246
Br2 Br 0.0787 0.2513 0.6956
Br3 Br 0.4444 0.8274 0.6957
Br4 Br 0.5309 0.1475 0.2245
Br5 Br 0.8409 0.6938 0.2243
Br6 Br 0.8679 0.6171 0.6954


# K2LiAsI6 | Alexandria | GGA-PBE | relaxed
# spin magnetization = 0.0 μB per cell
# E_form (uncorrected) = -0.87 eV/atom
# energy = -80.37 eV for the cell shown
data_K2LiAsI6
_chemical_formula_sum 'K6 Li3 As3 I18'
_cell_length_a 8.3353
_cell_length_b 8.3353
_cell_length_c 21.9791
_cell_angle_alpha 90.00
_cell_angle_beta 90.00
_cell_angle_gamma 120.00
_symmetry_space_group_name_H-M 'R 3'
_symmetry_Int_Tables_number 146
_symmetry_space_group_name_Hall 'R 3'
loop_
_atom_site_label
_atom_site_type_symbol
_atom_site_fract_x
_atom_site_fract_y
_atom_site_fract_z
K1 K 0.0000 0.0000 0.0000
K2 K 0.0000 0.0000 0.4997
Li1 Li 0.0000 0.0000 0.7884
As1 As 0.0000 0.0000 0.2118
I1 I 0.0259 0.4278 0.9460
I2 I 0.0794 0.7256 0.7875


# Ho2TiBe4Ir3 | Alexandria | GGA-PBE | relaxed
# spin magnetization = 0.0 μB per cell
# energy = -64.10 eV for the cell shown
# DFT formation energy = -0.5560 eV/atom
data_Ho2TiBe4Ir3
_chemical_formula_sum 'Ho2 Ti1 Be4 Ir3'
_cell_length_a 3.7924
_cell_length_b 3.7924
_cell_length_c 10.5251
_cell_angle_alpha 90.00
_cell_angle_beta 90.00
_cell_angle_gamma 90.00
_symmetry_space_group_name_H-M 'P -4 m 2'
_symmetry_Int_Tables_number 115
loop_
_symmetry_equiv_pos_as_xyz
'x,y,z'
'y,-x,-z'
'-x,-y,z'
'-y,x,-z'
'-x,y,z'
'-y,-x,-z'
'x,-y,z'
'y,x,-z'
loop_
_atom_site_label
_atom_site_type_symbol
_atom_site_fract_x
_atom_site_fract_y
_atom_site_fract_z
Ho1 Ho 0.0000 0.5000 0.2349
Ti1 Ti 0.0000 0.0000 0.5000
Be1 Be 0.0000 0.0000 0.0000
Be2 Be 0.0000 0.5000 0.6572
Be3 Be 0.5000 0.5000 0.0000
Ir1 Ir 0.0000 0.5000 0.8783
Ir2 Ir 0.5000 0.5000 0.5000